Entry from the Alexandria database: a relaxed structure of MnB (GGA-PBE).

Properties
**Energy of formation from the pure elements**: -157 meV per atom
**Total moment**: 2.0 μB/f.u.

```
data_MnB
_symmetry_space_group_name_H-M 'F d d d'
_symmetry_Int_Tables_number 70
_cell_length_a 5.0951
_cell_length_b 6.4980
_cell_length_c 8.5831
_cell_angle_alpha 90.00
_cell_angle_beta 90.00
_cell_angle_gamma 90.00
loop_
_symmetry_equiv_pos_as_xyz
'x,y,z'
'-x,-y,-z'
'-x+1/4,-y+1/4,z'
'x+1/4,y+1/4,-z'
'x,-y+1/4,-z+1/4'
'-x,y+1/4,z+1/4'
'-x+1/4,y,-z+1/4'
'x+1/4,-y,z+1/4'
'x,y+1/2,z+1/2'
'-x,-y+1/2,-z+1/2'
'-x+1/4,-y+3/4,z+1/2'
'x+1/4,y+3/4,-z+1/2'
'x,-y+3/4,-z+3/4'
'-x,y+3/4,z+3/4'
'-x+1/4,y+1/2,-z+3/4'
'x+1/4,-y+1/2,z+3/4'
'x+1/2,y,z+1/2'
'-x+1/2,-y,-z+1/2'
'-x+3/4,-y+1/4,z+1/2'
'x+3/4,y+1/4,-z+1/2'
'x+1/2,-y+1/4,-z+3/4'
'-x+1/2,y+1/4,z+3/4'
'-x+3/4,y,-z+3/4'
'x+3/4,-y,z+3/4'
'x+1/2,y+1/2,z'
'-x+1/2,-y+1/2,-z'
'-x+3/4,-y+3/4,z'
'x+3/4,y+3/4,-z'
'x+1/2,-y+3/4,-z+1/4'
'-x+1/2,y+3/4,z+1/4'
'-x+3/4,y+1/2,-z+1/4'
'x+3/4,-y+1/2,z+1/4'
loop_
_atom_site_label
_atom_site_fract_x
_atom_site_fract_y
_atom_site_fract_z
_atom_site_occupancy
Mn1 0.1250 0.3272 0.1250 1
B1 0.0472 0.3750 0.8750 1
```



Entry from the Alexandria database: a relaxed structure of MnB (GGA-PBE).

Properties
**Energy of formation from the pure elements**: -163 meV per atom
**Total moment**: 0.1 μB/f.u.

```
data_MnB
_symmetry_space_group_name_H-M 'A m m 2'
_symmetry_Int_Tables_number 38
_cell_length_a 2.5834
_cell_length_b 7.5922
_cell_length_c 5.3350
_cell_angle_alpha 90.00
_cell_angle_beta 90.00
_cell_angle_gamma 90.00
loop_
_symmetry_equiv_pos_as_xyz
'x,y,z'
'-x,-y,z'
'-x,y,z'
'x,-y,z'
'x,y+1/2,z+1/2'
'-x,-y+1/2,z+1/2'
'-x,y+1/2,z+1/2'
'x,-y+1/2,z+1/2'
loop_
_atom_site_label
_atom_site_fract_x
_atom_site_fract_y
_atom_site_fract_z
_atom_site_occupancy
Mn1 0.0000 0.0000 0.0000 1
Mn2 0.5000 0.2168 0.6649 1
B1 0.0000 0.0000 0.6217 1
B2 0.0000 0.1220 0.3602 1
```



Entry from the Alexandria database: a relaxed structure of MnB5 (GGA-PBE).

Properties
**Energy of formation from the pure elements**: 688 meV per atom
**Total moment**: 0.0 μB/f.u.

```
data_MnB5
_symmetry_space_group_name_H-M 'C m m m'
_symmetry_Int_Tables_number 65
_symmetry_space_group_name_Hall '-C 2 2'
_cell_length_a 3.1315
_cell_length_b 9.2970
_cell_length_c 2.7313
_cell_angle_alpha 90.00
_cell_angle_beta 90.00
_cell_angle_gamma 90.00
loop_
_atom_site_label
_atom_site_fract_x
_atom_site_fract_y
_atom_site_fract_z
_atom_site_occupancy
Mn1 0.0000 0.0000 0.0000 1
B1 0.0000 0.1911 0.5000 1
B2 0.0000 0.3413 0.0000 1
B3 0.0000 0.5000 0.5000 1
```



Entry from the Alexandria database: a relaxed structure of MnB (GGA-PBE).

Properties
**Energy of formation from the pure elements**: 744 meV per atom
**Total moment**: 2.0 μB/f.u.

```
data_MnB
_symmetry_space_group_name_H-M 'P m -3 n'
_symmetry_Int_Tables_number 223
_symmetry_space_group_name_Hall '-P 4n 2 3'
_cell_length_a 5.5723
_cell_length_b 5.5723
_cell_length_c 5.5723
_cell_angle_alpha 90.00
_cell_angle_beta 90.00
_cell_angle_gamma 90.00
loop_
_atom_site_label
_atom_site_fract_x
_atom_site_fract_y
_atom_site_fract_z
_atom_site_occupancy
Mn1 0.0000 0.2500 0.5000 1
B1 0.0000 0.5000 0.2500 1
```



Entry from the Alexandria database: a relaxed structure of MnB (GGA-PBE).

Properties
**Energy of formation from the pure elements**: -30 meV per atom
**Total moment**: 0.0 μB/f.u.

```
data_MnB
_symmetry_space_group_name_H-M 'I 4/m'
_symmetry_Int_Tables_number 87
_symmetry_space_group_name_Hall '-I 4'
_cell_length_a 6.0589
_cell_length_b 6.0589
_cell_length_c 3.8729
_cell_angle_alpha 90.00
_cell_angle_beta 90.00
_cell_angle_gamma 90.00
loop_
_atom_site_label
_atom_site_fract_x
_atom_site_fract_y
_atom_site_fract_z
_atom_site_occupancy
Mn1 0.1008 0.6760 0.0000 1
B1 0.0726 0.8115 0.5000 1
```



Entry from the Alexandria database: a relaxed structure of MnB (GGA-PBE).

Properties
**Energy of formation from the pure elements**: 7 meV per atom
**Total moment**: 1.1 μB/f.u.

```
data_MnB
_symmetry_space_group_name_H-M 'P 42/n c m'
_symmetry_Int_Tables_number 138
_cell_length_a 6.7614
_cell_length_b 6.7614
_cell_length_c 3.9606
_cell_angle_alpha 90.00
_cell_angle_beta 90.00
_cell_angle_gamma 90.00
loop_
_symmetry_equiv_pos_as_xyz
'x,y,z'
'-x,-y,-z'
'-y+1/2,x,z+1/2'
'y+1/2,-x,-z+1/2'
'-x+1/2,-y+1/2,z'
'x+1/2,y+1/2,-z'
'y,-x+1/2,z+1/2'
'-y,x+1/2,-z+1/2'
'x+1/2,-y,-z+1/2'
'-x+1/2,y,z+1/2'
'-y,-x,-z'
'y,x,z'
'-x,y+1/2,-z+1/2'
'x,-y+1/2,z+1/2'
'y+1/2,x+1/2,-z'
'-y+1/2,-x+1/2,z'
loop_
_atom_site_label
_atom_site_fract_x
_atom_site_fract_y
_atom_site_fract_z
_atom_site_occupancy
Mn1 0.1235 0.1235 0.1285 1
B1 0.0698 0.0698 0.6319 1
```



Entry from the Alexandria database: a relaxed structure of MnB (GGA-PBE).

Properties
**Energy of formation from the pure elements**: -494 meV per atom
**Total moment**: 1.9 μB/f.u.

```
data_MnB
_symmetry_space_group_name_H-M 'P n m a'
_symmetry_Int_Tables_number 62
_cell_length_a 5.4427
_cell_length_b 2.9794
_cell_length_c 4.1190
_cell_angle_alpha 90.00
_cell_angle_beta 90.00
_cell_angle_gamma 90.00
loop_
_symmetry_equiv_pos_as_xyz
'x,y,z'
'-x,-y,-z'
'-x+1/2,-y,z+1/2'
'x+1/2,y,-z+1/2'
'x+1/2,-y+1/2,-z+1/2'
'-x+1/2,y+1/2,z+1/2'
'-x,y+1/2,-z'
'x,-y+1/2,z'
loop_
_atom_site_label
_atom_site_fract_x
_atom_site_fract_y
_atom_site_fract_z
_atom_site_occupancy
Mn1 0.1754 0.2500 0.1233 1
B1 0.0335 0.2500 0.6151 1
```



Entry from the Alexandria database: a relaxed structure of Mn2B (GGA-PBE).

Properties
**Energy of formation from the pure elements**: -389 meV per atom
**Total moment**: 0.0 μB/f.u.

```
data_Mn2B
_symmetry_space_group_name_H-M 'I 4/m c m'
_symmetry_Int_Tables_number 140
_symmetry_space_group_name_Hall '-I 4 2c'
_cell_length_a 5.0597
_cell_length_b 5.0597
_cell_length_c 4.1068
_cell_angle_alpha 90.00
_cell_angle_beta 90.00
_cell_angle_gamma 90.00
loop_
_atom_site_label
_atom_site_fract_x
_atom_site_fract_y
_atom_site_fract_z
_atom_site_occupancy
Mn1 0.1591 0.3409 0.0000 1
B1 0.0000 0.0000 0.2500 1
```



Entry from the Alexandria database: a relaxed structure of MnBMo (GGA-PBE).

Properties
**Energy of formation from the pure elements**: -396 meV per atom
**Total moment**: 0.2 μB/f.u.

```
data_MnBMo
_symmetry_space_group_name_H-M 'P m m a'
_symmetry_Int_Tables_number 51
_cell_length_a 10.3302
_cell_length_b 3.0519
_cell_length_c 6.0157
_cell_angle_alpha 90.00
_cell_angle_beta 90.00
_cell_angle_gamma 90.00
loop_
_symmetry_equiv_pos_as_xyz
'x,y,z'
'-x,-y,-z'
'-x+1/2,-y,z'
'x+1/2,y,-z'
'x+1/2,-y,-z'
'-x+1/2,y,z'
'-x,y,-z'
'x,-y,z'
loop_
_atom_site_label
_atom_site_fract_x
_atom_site_fract_y
_atom_site_fract_z
_atom_site_occupancy
Mn1 0.1240 0.0000 0.0695 1
Mn2 0.2500 0.0000 0.7045 1
B1 0.0877 0.0000 0.4482 1
B2 0.2500 0.5000 0.9480 1
Mo1 0.0455 0.5000 0.7295 1
Mo2 0.2500 0.5000 0.3538 1
```



Entry from the Alexandria database: a relaxed structure of MnB2Mo4 (GGA-PBE).

Properties
**Energy of formation from the pure elements**: 239 meV per atom
**Total moment**: 1.3 μB/f.u.

```
data_MnB2Mo4
_symmetry_space_group_name_H-M 'R -3 m'
_symmetry_Int_Tables_number 166
_symmetry_space_group_name_Hall '-R 3 2"'
_cell_length_a 4.1155
_cell_length_b 4.1155
_cell_length_c 18.9018
_cell_angle_alpha 90.00
_cell_angle_beta 90.00
_cell_angle_gamma 120.00
loop_
_atom_site_label
_atom_site_fract_x
_atom_site_fract_y
_atom_site_fract_z
_atom_site_occupancy
Mn1 0.0000 0.0000 0.0000 1
B1 0.0000 0.0000 0.1062 1
Mo1 0.0000 0.0000 0.2216 1
Mo2 0.0000 0.0000 0.3844 1
```



Entry from the Alexandria database: a relaxed structure of MnBMo2 (GGA-PBE).

Properties
**Energy of formation from the pure elements**: 361 meV per atom
**Total moment**: 0.0 μB/f.u.

```
data_MnBMo2
_symmetry_space_group_name_H-M 'I -4 2 d'
_symmetry_Int_Tables_number 122
_symmetry_space_group_name_Hall 'I -4 2bw'
_cell_length_a 7.2289
_cell_length_b 7.2289
_cell_length_c 4.1358
_cell_angle_alpha 90.00
_cell_angle_beta 90.00
_cell_angle_gamma 90.00
loop_
_atom_site_label
_atom_site_fract_x
_atom_site_fract_y
_atom_site_fract_z
_atom_site_occupancy
Mn1 0.0000 0.0000 0.0000 1
B1 0.0000 0.0000 0.5000 1
Mo1 0.1427 0.7500 0.6250 1
```